1.
This record from the Alexandria database describes a crystal of MgZr2Ir relaxed with PBEsol. The functional is meta-GGA SCAN.

DFT formation energy = -0.130 eV/atom
volume = 19.42 Å³ per atom
space-group type = R-3m (166)

a b c (Å): 3.0173 3.0173 10.0058
angles (deg): 81.33 81.33 60.00
Element x y z (fractional)
Mg 0.0000 0.0000 0.0000
Ir 0.5000 0.5000 0.5000
Zr 0.7581 0.7581 0.7256
Zr 0.2419 0.2419 0.2744

---

2.
This record from the Alexandria database describes a crystal of CuSN3 relaxed with PBEsol. The functional is meta-GGA SCAN.

volume = 8.37 Å³ per atom
formation energy from raw total energies = 9.841 eV/f.u.
space-group type = Pm-3m (221)

a b c (Å): 3.4716 3.4716 3.4716
angles (deg): 90.00 90.00 90.00
Element x y z (fractional)
N 0.0000 0.5000 0.0000
N 0.0000 0.0000 0.5000
N 0.5000 0.0000 0.0000
S 0.0000 0.0000 0.0000
Cu 0.5000 0.5000 0.5000

---

3.
This record from the Alexandria database describes a crystal of MnIn2Au relaxed with PBEsol. The functional is meta-GGA SCAN.

DFT formation energy = -0.023 eV/atom
volume = 19.16 Å³ per atom
space-group type = F-43m (216)

a b c (Å): 4.7682 4.7682 4.7682
angles (deg): 60.00 60.00 60.00
Site moments in Bohr magnetons follow the coordinates.
Element x y z (fractional)
Mn 0.2500 0.2500 0.2500  4.14
In 0.7500 0.7500 0.7500  0.00
In 0.0000 0.0000 0.0000  -0.05
Au 0.5000 0.5000 0.5000  0.03

---

4.
This record from the Alexandria database describes a crystal of Ba2Ag2Pb relaxed with PBEsol. The functional is meta-GGA SCAN.

DFT formation energy = -0.400 eV/atom
volume = 31.41 Å³ per atom
space-group type = P4/mbm (127)

a b c (Å): 4.4062 8.4433 8.4433
angles (deg): 90.00 90.00 90.00
Element x y z (fractional)
Ba 0.5000 0.3161 0.1839
Ba 0.5000 0.6839 0.8161
Ba 0.5000 0.8161 0.3161
Ba 0.5000 0.1839 0.6839
Ag 0.0000 0.8845 0.6155
Ag 0.0000 0.6155 0.1155
Ag 0.0000 0.1155 0.3845
Ag 0.0000 0.3845 0.8845
Pb 0.0000 0.5000 0.5000
Pb 0.0000 0.0000 0.0000

---

5.
This record from the Alexandria database describes a crystal of CuCl2 relaxed with PBEsol. The functional is meta-GGA SCAN.

volume = 23.68 Å³ per atom
formation energy from raw total energies = -1.897 eV/f.u.
space-group type = Fmmm (69)

a b c (Å): 3.2520 3.8581 6.4521
angles (deg): 83.90 75.40 65.07
Site moments in Bohr magnetons follow the coordinates.
Element x y z (fractional)
Cu 0.5000 0.0000 0.0000  0.57
Cl 0.8774 0.0000 0.2452  0.19
Cl 0.1226 0.0000 0.7548  0.19

---

6.
This record from the Alexandria database describes a crystal of HfCo2P relaxed with PBEsol. The functional is meta-GGA SCAN.

DFT formation energy = -0.221 eV/atom
volume = 13.97 Å³ per atom
space-group type = I-42d (122)

a b c (Å): 3.7969 3.7969 8.2023
angles (deg): 103.38 103.38 90.00
Site moments in Bohr magnetons follow the coordinates.
Element x y z (fractional)
Co 0.4471 0.8750 0.2500  1.05
Co 0.1250 0.1971 0.7500  1.05
Co 0.8029 0.3750 0.2500  1.05
Co 0.6250 0.5529 0.7500  1.05
Hf 0.0000 0.0000 0.0000  -0.17
Hf 0.2500 0.7500 0.5000  -0.17
P 0.5000 0.5000 0.0000  -0.01
P 0.7500 0.2500 0.5000  -0.01